A relaxed structure of Er4In2Ga. Source: the Alexandria database, functional GGA-PBE.

As for the density of states at the Fermi level: 0.94 states/eV/atom. Its formation energy is -0.20 eV/atom. The calculation puts the calculated density at 8.242 Mg/m³. As for the crystal system: monoclinic. As for the spin magnetization: 0.00 μB per formula unit.

The space group is P2/m (No. 10) and the conventional cell measures 7.786, 3.559 and 7.826 Å, with angles of 90.00, 115.86 and 90.00 degrees. The asymmetric unit holds Er at (0.063, 0.000, 0.316), Er at (0.354, 0.500, 0.722), In at (0.209, 0.500, 0.046) and Ga at (0.500, 0.000, 0.500).



A relaxed structure of ErIn2Ga. Source: the Alexandria database, functional GGA-PBE.

As for the density of states at the Fermi level: 0.66 states/eV/atom. Its formation energy is -0.10 eV/atom. The calculation puts the calculated density at 7.795 Mg/m³. As for the crystal system: trigonal. As for the spin magnetization: 0.00 μB per formula unit.

The space group is R-3m (No. 166, hexagonal axes) and the conventional cell measures 5.2062, 5.2062 and 12.7047 Å, with angles of 90.00, 90.00 and 120.00 degrees. The asymmetric unit holds Er at (0.0000, 0.0000, 0.0000), In at (0.0000, 0.0000, 0.2504) and Ga at (0.0000, 0.0000, 0.5000).



A relaxed structure of ErInGa. Source: the Alexandria database, functional GGA-PBE.

As for the density of states at the Fermi level: 0.42 states/eV/atom. Its formation energy is -0.33 eV/atom. The calculation puts the calculated density at 7.920 Mg/m³. As for the crystal system: cubic. As for the spin magnetization: 0.00 μB per formula unit.

The space group is F-43m (No. 216) and the conventional cell measures 6.657, 6.657 and 6.657 Å, with angles of 90.00, 90.00 and 90.00 degrees. The asymmetric unit holds Er at (0.000, 0.000, 0.000), In at (0.000, 0.000, 0.500) and Ga at (0.250, 0.250, 0.750).



A relaxed structure of Er8InGa2. Source: the Alexandria database, functional GGA-PBE.

As for the density of states at the Fermi level: 0.80 states/eV/atom. Its formation energy is -0.30 eV/atom. The calculation puts the calculated density at 8.992 Mg/m³. As for the crystal system: monoclinic. As for the spin magnetization: 0.00 μB per formula unit.

The space group is C2/m (No. 12) and the conventional cell measures 15.948, 5.124 and 8.222 Å, with angles of 90.00, 118.93 and 90.00 degrees. The asymmetric unit holds Er at (0.064, 0.000, 0.222), Er at (0.102, 0.500, 0.960), Er at (0.148, 0.000, 0.706), Er at (0.184, 0.500, 0.459), In at (0.000, 0.500, 0.500) and Ga at (0.221, 0.000, 0.125).



A relaxed structure of ErInGa. Source: the Alexandria database, functional GGA-PBE.

As for the density of states at the Fermi level: 0.78 states/eV/atom. Its formation energy is -0.11 eV/atom. The calculation puts the calculated density at 7.656 Mg/m³. As for the crystal system: orthorhombic. As for the spin magnetization: 0.00 μB per formula unit.

The space group is Fddd (No. 70, origin choice 2) and the conventional cell measures 8.431, 11.025 and 13.135 Å, with angles of 90.00, 90.00 and 90.00 degrees. The asymmetric unit holds Er at (0.000, 0.000, 0.000), In at (0.125, 0.257, 0.625) and Ga at (0.125, 0.125, 0.445).



A relaxed structure of Er3InGa3. Source: the Alexandria database, functional GGA-PBE.

As for the density of states at the Fermi level: 0.58 states/eV/atom. Its formation energy is -0.45 eV/atom. The calculation puts the calculated density at 8.485 Mg/m³. As for the crystal system: hexagonal. As for the spin magnetization: 0.00 μB per formula unit.

The space group is P6_3/m (No. 176) and the conventional cell measures 8.8217, 8.8217 and 4.7956 Å, with angles of 90.00, 90.00 and 120.00 degrees. The asymmetric unit holds Er at (0.0976, 0.4323, 0.2500), In at (0.3333, 0.6667, 0.7500) and Ga at (0.0398, 0.2044, 0.7500).



A relaxed structure of Er6InGa2. Source: the Alexandria database, functional GGA-PBE.

As for the density of states at the Fermi level: 0.59 states/eV/atom. Its formation energy is -0.43 eV/atom. The calculation puts the calculated density at 8.699 Mg/m³. As for the crystal system: orthorhombic. As for the spin magnetization: 0.00 μB per formula unit.

The space group is Immm (No. 71) and the conventional cell measures 9.554, 9.566 and 10.508 Å, with angles of 90.00, 90.00 and 90.00 degrees. The asymmetric unit holds Er at (0.000, 0.203, 0.179), Er at (0.184, 0.222, 0.500), Er at (0.202, 0.500, 0.259), In at (0.000, 0.500, 0.000), In at (0.000, 0.500, 0.500), Ga at (0.000, 0.000, 0.379) and Ga at (0.149, 0.000, 0.000).



A relaxed structure of ErInGa. Source: the Alexandria database, functional GGA-PBE.

As for the density of states at the Fermi level: 0.22 states/eV/atom. Its formation energy is -0.44 eV/atom. The calculation puts the calculated density at 8.668 Mg/m³. As for the crystal system: trigonal. As for the spin magnetization: 0.00 μB per formula unit.

The space group is P3m1 (No. 156) and the conventional cell measures 4.7242, 4.7242 and 3.4868 Å, with angles of 90.00, 90.00 and 120.00 degrees. The asymmetric unit holds Er at (0.0000, 0.0000, 0.0000), In at (0.6667, 0.3333, 0.5119) and Ga at (0.3333, 0.6667, 0.4699).



A relaxed structure of Er11In9Ga4. Source: the Alexandria database, functional GGA-PBE.

As for the density of states at the Fermi level: 0.48 states/eV/atom. Its formation energy is -0.48 eV/atom. The calculation puts the calculated density at 8.872 Mg/m³. As for the crystal system: orthorhombic. As for the spin magnetization: 0.00 μB per formula unit.

The space group is Cmmm (No. 65) and the conventional cell measures 14.422, 21.863 and 3.742 Å, with angles of 90.00, 90.00 and 90.00 degrees. The asymmetric unit holds Er at (0.000, 0.000, 0.000), Er at (0.000, 0.163, 0.000), Er at (0.000, 0.370, 0.000), Er at (0.198, 0.500, 0.000), Er at (0.238, 0.173, 0.000), In at (0.000, 0.500, 0.500), In at (0.107, 0.263, 0.500), In at (0.139, 0.075, 0.500) and Ga at (0.152, 0.400, 0.500).



A relaxed structure of Er5In4Ga. Source: the Alexandria database, functional GGA-PBE.

As for the density of states at the Fermi level: 0.50 states/eV/atom. Its formation energy is -0.47 eV/atom. The calculation puts the calculated density at 8.981 Mg/m³. As for the crystal system: tetragonal. As for the spin magnetization: 0.00 μB per formula unit.

The space group is P4/mmm (No. 123) and the conventional cell measures 3.604, 3.604 and 19.431 Å, with angles of 90.00, 90.00 and 90.00 degrees. The asymmetric unit holds Er at (0.000, 0.000, 0.000), Er at (0.000, 0.000, 0.206), Er at (0.000, 0.000, 0.410), In at (0.500, 0.500, 0.103), In at (0.500, 0.500, 0.308) and Ga at (0.500, 0.500, 0.500).



A relaxed structure of Er2In3Ga3. Source: the Alexandria database, functional GGA-PBE.

As for the density of states at the Fermi level: 0.36 states/eV/atom. Its formation energy is -0.43 eV/atom. The calculation puts the calculated density at 8.368 Mg/m³. As for the crystal system: orthorhombic. As for the spin magnetization: 0.00 μB per formula unit.

The space group is Pmmm (No. 47) and the conventional cell measures 4.347, 4.445 and 9.122 Å, with angles of 90.00, 90.00 and 90.00 degrees. The asymmetric unit holds Er at (0.000, 0.000, 0.242), In at (0.000, 0.500, 0.000), In at (0.000, 0.500, 0.500), In at (0.500, 0.000, 0.500), Ga at (0.500, 0.000, 0.000) and Ga at (0.500, 0.500, 0.242).



A relaxed structure of Er4InGa2. Source: the Alexandria database, functional GGA-PBE.

As for the density of states at the Fermi level: 0.72 states/eV/atom. Its formation energy is -0.26 eV/atom. The calculation puts the calculated density at 8.024 Mg/m³. As for the crystal system: trigonal. As for the spin magnetization: 0.00 μB per formula unit.

The space group is R-3m (No. 166, hexagonal axes) and the conventional cell measures 4.9693, 4.9693 and 26.8056 Å, with angles of 90.00, 90.00 and 120.00 degrees. The asymmetric unit holds Er at (0.0000, 0.0000, 0.1183), Er at (0.0000, 0.0000, 0.2943), In at (0.0000, 0.0000, 0.5000) and Ga at (0.0000, 0.0000, 0.4004).



A relaxed structure of Er2InGa2. Source: the Alexandria database, functional GGA-PBE.

As for the density of states at the Fermi level: 0.47 states/eV/atom. Its formation energy is -0.61 eV/atom. The calculation puts the calculated density at 8.662 Mg/m³. As for the crystal system: tetragonal. As for the spin magnetization: 0.00 μB per formula unit.

The space group is P4/mbm (No. 127) and the conventional cell measures 7.169, 7.169 and 4.393 Å, with angles of 90.00, 90.00 and 90.00 degrees. The asymmetric unit holds Er at (0.172, 0.328, 0.000), In at (0.000, 0.000, 0.500) and Ga at (0.126, 0.626, 0.500).



A relaxed structure of ErInGa4. Source: the Alexandria database, functional GGA-PBE.

As for the density of states at the Fermi level: 0.80 states/eV/atom. Its formation energy is -0.21 eV/atom. The calculation puts the calculated density at 7.600 Mg/m³. As for the crystal system: cubic. As for the spin magnetization: 0.00 μB per formula unit.

The space group is F-43m (No. 216) and the conventional cell measures 7.885, 7.885 and 7.885 Å, with angles of 90.00, 90.00 and 90.00 degrees. The asymmetric unit holds Er at (0.000, 0.000, 0.000), In at (0.250, 0.250, 0.750) and Ga at (0.125, 0.125, 0.375).



A relaxed structure of Er7In2Ga2. Source: the Alexandria database, functional GGA-PBE.

As for the density of states at the Fermi level: 0.82 states/eV/atom. Its formation energy is -0.18 eV/atom. The calculation puts the calculated density at 8.060 Mg/m³. As for the crystal system: orthorhombic. As for the spin magnetization: 0.00 μB per formula unit.

The space group is Cmmm (No. 65) and the conventional cell measures 7.914, 11.012 and 7.281 Å, with angles of 90.00, 90.00 and 90.00 degrees. The asymmetric unit holds Er at (0.000, 0.000, 0.000), Er at (0.000, 0.500, 0.248), Er at (0.250, 0.250, 0.273), In at (0.179, 0.000, 0.500) and Ga at (0.000, 0.290, 0.000).



A relaxed structure of Er6In5Ga. Source: the Alexandria database, functional GGA-PBE.

As for the density of states at the Fermi level: 0.46 states/eV/atom. Its formation energy is -0.45 eV/atom. The calculation puts the calculated density at 8.988 Mg/m³. As for the crystal system: orthorhombic. As for the spin magnetization: 0.00 μB per formula unit.

The space group is Cmmm (No. 65) and the conventional cell measures 5.240, 15.716 and 7.392 Å, with angles of 90.00, 90.00 and 90.00 degrees. The asymmetric unit holds Er at (0.000, 0.000, 0.242), Er at (0.000, 0.338, 0.247), In at (0.000, 0.168, 0.500), In at (0.000, 0.170, 0.000), In at (0.000, 0.500, 0.500) and Ga at (0.000, 0.500, 0.000).



A relaxed structure of Er4InGa3. Source: the Alexandria database, functional GGA-PBE.

As for the density of states at the Fermi level: 0.81 states/eV/atom. Its formation energy is -0.55 eV/atom. The calculation puts the calculated density at 8.430 Mg/m³. As for the crystal system: orthorhombic. As for the spin magnetization: 0.00 μB per formula unit.

The space group is Pmm2 (No. 25) and the conventional cell measures 4.079, 4.383 and 10.941 Å, with angles of 90.00, 90.00 and 90.00 degrees. The asymmetric unit holds Er at (0.000, 0.000, 0.000), Er at (0.000, 0.500, 0.486), Er at (0.500, 0.000, 0.709), Er at (0.500, 0.500, 0.218), In at (0.000, 0.500, 0.776), Ga at (0.000, 0.000, 0.277), Ga at (0.500, 0.000, 0.431) and Ga at (0.500, 0.500, 0.945).



A relaxed structure of Er5In2Ga2. Source: the Alexandria database, functional GGA-PBE.

As for the density of states at the Fermi level: 0.66 states/eV/atom. Its formation energy is -0.47 eV/atom. The calculation puts the calculated density at 8.530 Mg/m³. As for the crystal system: orthorhombic. As for the spin magnetization: 0.00 μB per formula unit.

The space group is Cmce (No. 64) and the conventional cell measures 15.975, 7.714 and 7.616 Å, with angles of 90.00, 90.00 and 90.00 degrees. The asymmetric unit holds Er at (0.000, 0.000, 0.000), Er at (0.129, 0.186, 0.319), In at (0.221, 0.000, 0.000) and Ga at (0.000, 0.118, 0.620).



A relaxed structure of Er5InGa4. Source: the Alexandria database, functional GGA-PBE.

As for the density of states at the Fermi level: 0.38 states/eV/atom. Its formation energy is -0.55 eV/atom. The calculation puts the calculated density at 8.900 Mg/m³. As for the crystal system: tetragonal. As for the spin magnetization: 0.00 μB per formula unit.

The space group is P4/mmm (No. 123) and the conventional cell measures 3.531, 3.531 and 18.403 Å, with angles of 90.00, 90.00 and 90.00 degrees. The asymmetric unit holds Er at (0.000, 0.000, 0.000), Er at (0.000, 0.000, 0.192), Er at (0.000, 0.000, 0.388), In at (0.500, 0.500, 0.500), Ga at (0.500, 0.500, 0.096) and Ga at (0.500, 0.500, 0.290).



A relaxed structure of ErIn2Ga. Source: the Alexandria database, functional GGA-PBE.

As for the density of states at the Fermi level: 0.35 states/eV/atom. Its formation energy is -0.41 eV/atom. The calculation puts the calculated density at 8.430 Mg/m³. As for the crystal system: tetragonal. As for the spin magnetization: 0.00 μB per formula unit.

The space group is P4/mmm (No. 123) and the conventional cell measures 4.446, 4.446 and 4.650 Å, with angles of 90.00, 90.00 and 90.00 degrees. The asymmetric unit holds Er at (0.000, 0.000, 0.000), In at (0.000, 0.500, 0.500) and Ga at (0.500, 0.500, 0.000).